Compound: TcSb2RhI
Source: the Alexandria database
Functional: PBE
Structure: optimized geometry

Summary:
The value obtained for the uncorrected formation energy is 1.00 eV per atom. The total moment is 0.51 μB/cell. The calculated total energy comes out at -4.50 eV per atom. Its energy above the lowest structure with this stoichiometry is 5.2 meV per atom.

a = 5.008 Å, b = 5.008 Å, c = 5.621 Å
α = 90.00°, β = 90.00°, γ = 90.00°
Space group P4/mmm (No. 123)
Asymmetric unit:
Tc1 0.000 0.000 0.000 [1 per cell]
Sb1 0.000 0.500 0.000 [2 per cell]
Rh1 0.500 0.500 0.500 [1 per cell]
I1 0.000 0.000 0.500 [1 per cell]

Compound: Ni4Rh
Source: the Alexandria database
Functional: PBE
Structure: optimized geometry

Summary:
As for the calculated formation energy: 0.10 eV/atom. The total moment is 6.89 μB/cell. The calculated total energy comes out at -5.99 eV per atom. Its energy above the lowest structure with this stoichiometry is 93.1 meV per atom.

a = 2.986 Å, b = 2.986 Å, c = 13.191 Å
α = 90.00°, β = 90.00°, γ = 90.00°
Space group I4/mmm (No. 139)
Asymmetric unit:
Ni1 0.000 0.000 0.109 [4 per cell]
Ni2 0.000 0.000 0.298 [4 per cell]
Rh1 0.000 0.000 0.500 [2 per cell]

Compound: MnRuPt3
Source: the Alexandria database
Functional: PBE
Structure: optimized geometry

Summary:
As for the calculated formation energy: 1.27 eV/atom. The total moment is 5.26 μB/cell. The calculated total energy comes out at -6.04 eV per atom.

a = 4.790 Å, b = 4.790 Å, c = 4.790 Å
α = 90.00°, β = 90.00°, γ = 90.00°
Space group Pm-3m (No. 221)
Asymmetric unit:
Mn1 0.000 0.000 0.000 [1 per cell]
Ru1 0.500 0.500 0.500 [1 per cell]
Pt1 0.000 0.500 0.500 [3 per cell]

Compound: AlCdIr2
Source: the Alexandria database
Functional: PBE
Structure: optimized geometry

Summary:
As for the calculated formation energy: -0.21 eV/atom. The total moment is 0.00 μB/cell. The calculated total energy comes out at -5.80 eV per atom.

a = 2.906 Å, b = 3.995 Å, c = 5.579 Å
α = 90.00°, β = 102.86°, γ = 90.00°
Space group P2/m (No. 10)
Asymmetric unit:
Al1 0.000 0.000 0.000 [1 per cell]
Cd1 0.000 0.000 0.500 [1 per cell]
Ir1 0.380 0.500 0.225 [2 per cell]

Compound: Nd4Dy2Ho
Source: the Alexandria database
Functional: PBE
Structure: optimized geometry

Summary:
As for the calculated formation energy: 0.06 eV/atom. The total moment is 0.00 μB/cell. The calculated total energy comes out at -4.63 eV per atom. Its energy above the lowest structure with this stoichiometry is 0.0 meV per atom.

a = 12.021 Å, b = 24.314 Å, c = 6.483 Å
α = 90.00°, β = 90.00°, γ = 90.00°
Space group Fdd2 (No. 43)
Asymmetric unit:
Nd1 0.052 0.430 0.000 [16 per cell]
Nd2 0.068 0.356 0.469 [16 per cell]
Dy1 0.024 0.285 0.946 [16 per cell]
Ho1 0.000 0.000 0.005 [8 per cell]

Compound: Th3Sb2AsRh9
Source: the Alexandria database
Functional: PBE
Structure: optimized geometry

Summary:
The value obtained for the uncorrected formation energy is -0.43 eV per atom. The total moment is 0.00 μB/cell. The calculated total energy comes out at -7.18 eV per atom.

a = 6.9585 Å, b = 6.9585 Å, c = 7.9098 Å
α = 90.00°, β = 90.00°, γ = 120.00°
Space group P-3m1 (No. 164)
Asymmetric unit:
Th1 0.0000 0.0000 0.0000 [1 per cell]
Th2 0.3333 0.6667 0.7541 [2 per cell]
Sb1 0.3333 0.6667 0.2451 [2 per cell]
As1 0.0000 0.0000 0.5000 [1 per cell]
Rh1 0.0000 0.5000 0.0000 [3 per cell]
Rh2 0.1317 0.2634 0.2699 [6 per cell]

Compound: LaPm6PrDy2
Source: the Alexandria database
Functional: PBE
Structure: optimized geometry

Summary:
As for the calculated formation energy: 0.11 eV/atom. The total moment is 0.00 μB/cell. The calculated total energy comes out at -4.63 eV per atom.

a = 9.348 Å, b = 15.321 Å, c = 9.786 Å
α = 90.00°, β = 97.34°, γ = 90.00°
Space group C2/c (No. 15)
Asymmetric unit:
La1 0.000 0.094 0.250 [4 per cell]
Pm1 0.067 0.323 0.443 [8 per cell]
Pm2 0.095 0.109 0.620 [8 per cell]
Pm3 0.208 0.272 0.820 [8 per cell]
Pr1 0.000 0.468 0.750 [4 per cell]
Dy1 0.246 0.451 0.048 [8 per cell]

Compound: Tm2PaPt
Source: the Alexandria database
Functional: PBE
Structure: optimized geometry

Summary:
As for the calculated formation energy: -0.52 eV/atom. The total moment is 0.45 μB/cell. The calculated total energy comes out at -6.64 eV per atom. Its energy above the lowest structure with this stoichiometry is 0.0 meV per atom.

a = 3.425 Å, b = 3.425 Å, c = 8.164 Å
α = 90.00°, β = 90.00°, γ = 90.00°
Space group P4/mmm (No. 123)
Asymmetric unit:
Tm1 0.000 0.000 0.206 [2 per cell]
Pa1 0.500 0.500 0.500 [1 per cell]
Pt1 0.500 0.500 0.000 [1 per cell]

> The lowest calculated total energy belongs to which entry?

Th3Sb2AsRh9

Copy entry 8 word for word.
Compound: Tm2PaPt
Source: the Alexandria database
Functional: PBE
Structure: optimized geometry

Summary:
As for the calculated formation energy: -0.52 eV/atom. The total moment is 0.45 μB/cell. The calculated total energy comes out at -6.64 eV per atom. Its energy above the lowest structure with this stoichiometry is 0.0 meV per atom.

a = 3.425 Å, b = 3.425 Å, c = 8.164 Å
α = 90.00°, β = 90.00°, γ = 90.00°
Space group P4/mmm (No. 123)
Asymmetric unit:
Tm1 0.000 0.000 0.206 [2 per cell]
Pa1 0.500 0.500 0.500 [1 per cell]
Pt1 0.500 0.500 0.000 [1 per cell]